Entry 1:
! PBE BaInNi2, optimized geometry; values from VASP
! * calculated formation energy: 0.01 eV/atom
! * DOS(E_F): 3.95 states/eV per cell
&SYSTEM
  ibrav = 0, nat = 4, ntyp = 3
/
ATOMIC_SPECIES
Ni 58.69 Ni.upf
In 114.82 In.upf
Ba 137.33 Ba.upf
CELL_PARAMETERS angstrom
3.9907 0.0000 0.0000
0.0000 4.0222 0.0112
0.0000 2.0021 5.8452
ATOMIC_POSITIONS crystal
Ni 0.5000 0.0963 0.1827
Ni 0.0000 0.1974 0.9789
In 0.5000 0.7420 0.8918
Ba 0.0000 0.4643 0.4466


Entry 2:
! PBE BaInNi2, optimized geometry; values from VASP
! * calculated formation energy: 0.40 eV/atom
! * DOS(E_F): 3.37 states/eV per cell
&SYSTEM
  ibrav = 0, nat = 4, ntyp = 3
/
ATOMIC_SPECIES
Ba 137.33 Ba.upf
Ni 58.69 Ni.upf
In 114.82 In.upf
CELL_PARAMETERS angstrom
-0.8362 -5.8128 0.4105
4.2832 -3.7419 -1.5194
-0.7088 4.8251 3.2973
ATOMIC_POSITIONS crystal
Ba 0.5000 0.5000 0.0000
Ni 0.0000 0.0000 0.0000
Ni 0.2500 0.7500 0.5000
In 0.7500 0.2500 0.5000


Entry 3:
! PBE BaInNi2, optimized geometry; values from VASP
! * calculated formation energy: -0.15 eV/atom
! * DOS(E_F): 7.16 states/eV per cell
&SYSTEM
  ibrav = 0, nat = 8, ntyp = 3
/
ATOMIC_SPECIES
Ba 137.33 Ba.upf
Ni 58.69 Ni.upf
In 114.82 In.upf
CELL_PARAMETERS angstrom
2.0826 -6.9283 0.0000
2.0826 6.9283 0.0000
0.0000 0.0000 6.8528
ATOMIC_POSITIONS crystal
Ba 0.9128 0.0872 0.7500
Ba 0.0872 0.9128 0.2500
Ni 0.7553 0.2447 0.0812
Ni 0.2447 0.7553 0.9188
Ni 0.2447 0.7553 0.5812
Ni 0.7553 0.2447 0.4188
In 0.6464 0.3536 0.7500
In 0.3536 0.6464 0.2500


Entry 4:
! PBE Ba3InNi, optimized geometry; values from VASP
! * calculated formation energy: -0.04 eV/atom
! * DOS(E_F): 5.38 states/eV per cell
! * excess energy over the best structure of this formula in the dataset: 0 meV per atom
&SYSTEM
  ibrav = 0, nat = 5, ntyp = 3
/
ATOMIC_SPECIES
In 114.82 In.upf
Ba 137.33 Ba.upf
Ni 58.69 Ni.upf
CELL_PARAMETERS angstrom
-1.3536 0.1132 -5.8084
-4.9595 -3.1284 1.0948
-3.0254 5.0777 0.8040
ATOMIC_POSITIONS crystal
In 0.5000 0.5000 0.5000
Ba 0.5000 0.0000 0.0000
Ba 0.0000 0.0000 0.5000
Ba 0.0000 0.5000 0.0000
Ni 0.0000 0.0000 0.0000


Entry 5:
! PBE BaIn2Ni2, optimized geometry; values from VASP
! * calculated formation energy: 0.04 eV/atom
! * DOS(E_F): 4.84 states/eV per cell
&SYSTEM
  ibrav = 0, nat = 10, ntyp = 3
/
ATOMIC_SPECIES
Ni 58.69 Ni.upf
In 114.82 In.upf
Ba 137.33 Ba.upf
CELL_PARAMETERS angstrom
8.2043 0.0000 0.0000
0.0000 8.2043 0.0000
0.0000 0.0000 3.0963
ATOMIC_POSITIONS crystal
Ni 0.1562 0.3438 0.0000
Ni 0.8438 0.6562 0.0000
Ni 0.3438 0.8438 0.0000
Ni 0.6562 0.1562 0.0000
In 0.6330 0.8670 0.5000
In 0.3670 0.1330 0.5000
In 0.1330 0.6330 0.5000
In 0.8670 0.3670 0.5000
Ba 0.5000 0.5000 0.0000
Ba 0.0000 0.0000 0.0000


Entry 6:
! PBE BaInNi2, optimized geometry; values from VASP
! * calculated formation energy: 0.14 eV/atom
! * DOS(E_F): 2.83 states/eV per cell
&SYSTEM
  ibrav = 0, nat = 4, ntyp = 3
/
ATOMIC_SPECIES
Ni 58.69 Ni.upf
Ba 137.33 Ba.upf
In 114.82 In.upf
CELL_PARAMETERS angstrom
-2.7382 4.1026 -1.4935
-3.9840 -1.9083 2.6544
4.5915 1.3560 1.9076
ATOMIC_POSITIONS crystal
Ni 0.4178 0.4178 0.0000
Ni 0.0822 0.0822 0.0000
Ba 0.7500 0.2500 0.5000
In 0.2500 0.7500 0.5000


Entry 7:
! PBE BaIn2Ni2, optimized geometry; values from VASP
! * calculated formation energy: -0.24 eV/atom
! * DOS(E_F): 3.80 states/eV per cell
&SYSTEM
  ibrav = 0, nat = 5, ntyp = 3
/
ATOMIC_SPECIES
Ba 137.33 Ba.upf
Ni 58.69 Ni.upf
In 114.82 In.upf
CELL_PARAMETERS angstrom
4.0860 0.0000 -1.3979
-0.5199 4.7704 -1.5197
-0.2380 0.3845 5.9748
ATOMIC_POSITIONS crystal
Ba 0.0000 0.0000 0.0000
Ni 0.2570 0.8727 0.5139
Ni 0.7430 0.1273 0.4861
In 0.3396 0.4150 0.6793
In 0.6604 0.5850 0.3207


Entry 8:
! PBE Ba2InNi, optimized geometry; values from VASP
! * calculated formation energy: 0.04 eV/atom
! * DOS(E_F): 2.50 states/eV per cell
&SYSTEM
  ibrav = 0, nat = 4, ntyp = 3
/
ATOMIC_SPECIES
Ni 58.69 Ni.upf
Ba 137.33 Ba.upf
In 114.82 In.upf
CELL_PARAMETERS angstrom
-2.6288 -2.9130 1.8866
0.1606 -4.1926 -1.1625
5.5828 -3.8685 6.7307
ATOMIC_POSITIONS crystal
Ni 0.7500 0.7500 0.7500
Ba 0.0176 0.0176 0.9481
Ba 0.4824 0.4824 0.5519
In 0.2500 0.2500 0.2500


Entry 9:
! PBE BaIn2Ni2, optimized geometry; values from VASP
! * calculated formation energy: -0.14 eV/atom
! * DOS(E_F): 4.03 states/eV per cell
&SYSTEM
  ibrav = 0, nat = 5, ntyp = 3
/
ATOMIC_SPECIES
In 114.82 In.upf
Ni 58.69 Ni.upf
Ba 137.33 Ba.upf
CELL_PARAMETERS angstrom
-1.8554 2.4642 3.2976
-0.2745 -3.6831 2.5978
4.0213 0.4641 5.0072
ATOMIC_POSITIONS crystal
In 0.2500 0.7500 0.5000
In 0.7500 0.2500 0.5000
Ni 0.3895 0.3895 0.2211
Ni 0.6105 0.6105 0.7789
Ba 0.0000 0.0000 0.0000